No. 1
K2RbPbCl | PBE | relaxed

Properties
Symmetry: P4/mmm, No. 123
N(E_F), states/eV/f.u.: 4.68
Calculated total energy, Ry per atom: -0.1783

abc: 6.0329 6.0329 6.3288
angles: 90.00 90.00 90.00
Fractional coordinates of all 5 atoms:
K  0.0000  0.5000  0.0000
K  0.5000  0.0000  0.0000
Rb  0.0000  0.0000  0.5000
Pb  0.5000  0.5000  0.5000
Cl  0.0000  0.0000  0.0000


No. 2
CrPt3Rh | PBE | relaxed

Properties
Symmetry: P2_1/c, No. 14
N(E_F), states/eV/f.u.: 7.73
Excess energy over the best structure of this formula in the dataset, meV per atom: 0
Formation energy, eV/atom: -0.0062

abc: 4.8188 5.3410 12.8349
angles: 90.00 111.71 90.00
Fractional coordinates of all 20 atoms:
Cr  0.1105  0.0946  0.2507
Cr  0.1105  0.4054  0.7507
Cr  0.8895  0.5946  0.2493
Cr  0.8895  0.9054  0.7493
Pt  0.1109  0.1863  0.9407
Pt  0.1109  0.3137  0.4407
Pt  0.2711  0.6832  0.9372
Pt  0.2711  0.8168  0.4372
Pt  0.4690  0.5489  0.6431
Pt  0.4690  0.9511  0.1431
Pt  0.5310  0.0489  0.8569
Pt  0.5310  0.4511  0.3569
Pt  0.7289  0.1832  0.5628
Pt  0.7289  0.3168  0.0628
Pt  0.8891  0.6863  0.5593
Pt  0.8891  0.8137  0.0593
Rh  0.3056  0.0458  0.6398
Rh  0.3056  0.4542  0.1398
Rh  0.6944  0.5458  0.8602
Rh  0.6944  0.9542  0.3602


No. 3
BeNi3Ru | PBE | relaxed

Properties
Symmetry: Pm-3m, No. 221
N(E_F), states/eV/f.u.: 4.97
Excess energy over the best structure of this formula in the dataset, meV per atom: 0
Formation energy, eV/atom: 0.4881

abc: 3.8669 3.8669 3.8669
angles: 90.00 90.00 90.00
Fractional coordinates of all 5 atoms:
Be  0.0000  0.0000  0.0000
Ni  0.0000  0.0000  0.5000
Ni  0.0000  0.5000  0.0000
Ni  0.5000  0.0000  0.0000
Ru  0.5000  0.5000  0.5000